DFT (PBE-GGA) results for BaCoNi2 after structural relaxation.

Cell: 4.8465 4.8465 8.4216 Å, 73.28 73.28 90.00°
Closest atoms and distances in Å follow each position.
Positions (direct):
Ba1 0.7500 0.2500 0.5000  8 Ni 3.32, 4 Co 3.43
Ni1 0.3756 0.6250 0.2500  2 Co 2.27, 2 Ni 2.42
Ni2 0.3744 0.1250 0.2500  2 Co 2.27, 2 Ni 2.42
Co1 0.5000 0.5000 0.0000  4 Ni 2.27
Ni3 0.8750 0.6244 0.7500  2 Co 2.27, 2 Ni 2.42
Ni4 0.3750 0.6256 0.7500  2 Co 2.27, 2 Ni 2.42
Co2 0.2500 0.7500 0.5000  4 Ni 2.27
Ba2 0.0000 0.0000 0.0000  8 Ni 3.32, 4 Co 3.43

Calculated values
VASP energy: -4.814 eV per atom
spin magnetization: 2.55 μB/f.u.
formation energy: 0.33 eV/atom